This record from the Alexandria database describes an optimized crystal structure of Pm4RuS2Br. The functional is PBE.

Cell: 3.9373 7.2425 7.3561 Å, 73.53 90.00 90.00°
With the nearest neighbours (Å) after each atom.
Sites, in units of the cell vectors:
Pm: 0.5000 0.7542 0.2656  3 S 2.81-2.98, 2 Ru 2.90, 1 Br 3.04
Pm: 0.0000 0.7613 0.7116  1 Ru 2.77, 3 S 2.79-3.09
Pm: 0.5000 0.2458 0.7344  3 S 2.81-2.98, 2 Ru 2.90, 1 Br 3.04
Pm: 0.0000 0.2387 0.2884  1 Ru 2.77, 3 S 2.79-3.09
S: 0.5000 0.0000 0.5000  6 Pm 2.79-2.81
S: 0.0000 0.0000 0.0000  6 Pm 2.98-3.09
Ru: 0.0000 0.5000 0.5000  6 Pm 2.77-2.90
Br: 0.5000 0.5000 0.0000  6 Pm 3.04-3.11

V = 25.1 Å³/atom
Total DFT energy (no corrections) = -6.07 eV per atom
Fermi-level density of states = 0.87 states/eV per atom
Crystal system = monoclinic
E_form (uncorrected) = -1296 meV/atom